Entry from Alexandria: a relaxed CaTcH3 crystal (GGA-PBEsol).

POSCAR file:
```
CaTcH3
1.0
3.593 0.000 0.000
0.000 3.593 0.000
0.000 0.000 3.593
Ca Tc H
1 1 3
direct
0.000 0.000 0.000
0.500 0.500 0.500
0.000 0.500 0.500
0.500 0.000 0.500
0.500 0.500 0.000
```

Computed properties:
The calculation puts the uncorrected energy at -4.982 eV per atom. As for the space-group type: Pm-3m (221).